[1]
DFT (meta-GGA SCAN) results for ZrAlIn2As at its PBEsol-relaxed geometry.

## Properties
Energy of formation from the pure elements   583 meV/atom
Space-group type   P4/mmm (123)

Lattice parameters (Å, degrees): 4.958 4.958 5.186 90.00 90.00 90.00
Sites, in units of the cell vectors:
As 0.500 0.500 0.500
Al 0.000 0.000 0.000
Zr 0.000 0.000 0.500
In 0.000 0.500 0.000
In 0.500 0.000 0.000

=====

[2]
DFT (meta-GGA SCAN) results for Al2AsIr at its PBEsol-relaxed geometry.

## Properties
Energy of formation from the pure elements   -128 meV/atom
Space-group type   R3m (160)

Lattice parameters (Å, degrees): 2.953 2.953 8.532 80.03 80.03 60.00
Sites, in units of the cell vectors:
As 0.506 0.506 0.482
Ir 0.251 0.251 0.247
Al 0.994 0.994 0.018
Al 0.749 0.749 0.752

=====

[3]
DFT (meta-GGA SCAN) results for Al2AsIr at its PBEsol-relaxed geometry.

## Properties
Energy of formation from the pure elements   -338 meV/atom
Space-group type   I4/mmm (139)

Lattice parameters (Å, degrees): 4.005 4.005 4.679 115.34 115.34 90.00
Sites, in units of the cell vectors:
As 0.500 0.500 0.000
Ir 0.000 0.000 0.000
Al 0.750 0.250 0.500
Al 0.250 0.750 0.500

=====

[4]
DFT (meta-GGA SCAN) results for KAlAs2 at its PBEsol-relaxed geometry.

## Properties
Energy of formation from the pure elements   244 meV/atom
Space-group type   P4mm (99)

Lattice parameters (Å, degrees): 2.923 2.923 10.204 90.00 90.00 90.00
Sites, in units of the cell vectors:
As 0.000 0.000 0.969
As 0.500 0.500 0.244
K 0.000 0.000 0.503
Al 0.500 0.500 0.784

=====

[5]
DFT (meta-GGA SCAN) results for KAl2As at its PBEsol-relaxed geometry.

## Properties
Energy of formation from the pure elements   57 meV/atom
Space-group type   C2/m (12)

Lattice parameters (Å, degrees): 3.192 5.831 5.993 111.37 105.45 90.00
Sites, in units of the cell vectors:
As 0.500 0.000 0.000
K 0.000 0.500 0.000
Al 0.193 0.133 0.387
Al 0.807 0.867 0.613

=====

[6]
DFT (meta-GGA SCAN) results for KAl2As at its PBEsol-relaxed geometry.

## Properties
Energy of formation from the pure elements   66 meV/atom
Space-group type   Immm (71)

Lattice parameters (Å, degrees): 3.059 5.630 6.248 116.78 104.17 90.00
Sites, in units of the cell vectors:
As 0.500 0.000 0.000
K 0.000 0.500 0.000
Al 0.796 0.796 0.593
Al 0.204 0.204 0.407

=====

[7]
DFT (meta-GGA SCAN) results for KAlAs2 at its PBEsol-relaxed geometry.

## Properties
Energy of formation from the pure elements   -302 meV/atom
Space-group type   I-42d (122)

Lattice parameters (Å, degrees): 5.626 5.626 8.557 109.19 109.19 90.00
Sites, in units of the cell vectors:
As 0.554 0.875 0.250
As 0.696 0.375 0.250
As 0.125 0.304 0.750
As 0.625 0.446 0.750
K 0.250 0.750 0.500
K 0.000 0.000 0.000
Al 0.750 0.250 0.500
Al 0.500 0.500 0.000

=====

[8]
DFT (meta-GGA SCAN) results for KAlAs2 at its PBEsol-relaxed geometry.

## Properties
Energy of formation from the pure elements   -384 meV/atom
Space-group type   Cm (8)

Lattice parameters (Å, degrees): 4.053 4.346 6.716 96.82 90.00 117.80
Sites, in units of the cell vectors:
As 0.089 0.179 0.166
As 0.182 0.364 0.818
K 0.456 0.912 0.495
Al 0.773 0.546 0.022

=====

[9]
DFT (meta-GGA SCAN) results for KAlAs3 at its PBEsol-relaxed geometry.

## Properties
Energy of formation from the pure elements   1720 meV/atom
Space-group type   Pm-3m (221)

Lattice parameters (Å, degrees): 5.269 5.269 5.269 90.00 90.00 90.00
Sites, in units of the cell vectors:
As 0.000 0.500 0.000
As 0.000 0.000 0.500
As 0.500 0.000 0.000
K 0.000 0.000 0.000
Al 0.500 0.500 0.500

=====

[10]
DFT (meta-GGA SCAN) results for KAl2As at its PBEsol-relaxed geometry.

## Properties
Energy of formation from the pure elements   338 meV/atom
Space-group type   I4/mmm (139)

Lattice parameters (Å, degrees): 4.396 4.396 5.507 113.52 113.52 90.00
Sites, in units of the cell vectors:
As 0.500 0.500 0.000
K 0.000 0.000 0.000
Al 0.750 0.250 0.500
Al 0.250 0.750 0.500

=====

[11]
DFT (meta-GGA SCAN) results for K2NaAlAs2 at its PBEsol-relaxed geometry.

## Properties
Energy of formation from the pure elements   -701 meV/atom
Space-group type   Ibam (72)

Lattice parameters (Å, degrees): 6.437 6.715 8.769 112.51 111.53 90.00
Sites, in units of the cell vectors:
K 0.675 0.435 0.350
K 0.825 0.085 0.650
K 0.325 0.565 0.650
K 0.175 0.915 0.350
Na 0.250 0.500 0.000
Na 0.750 0.500 0.000
Al 0.250 0.000 0.000
Al 0.750 0.000 0.000
As 0.095 0.297 0.191
As 0.905 0.703 0.809
As 0.405 0.106 0.809
As 0.595 0.894 0.191

=====

[12]
DFT (meta-GGA SCAN) results for KAlAs2O7 at its PBEsol-relaxed geometry.

## Properties
Space-group type   P-1 (2)
Formation energy (no corrections)   -1987 meV per atom

Lattice parameters (Å, degrees): 6.223 6.327 8.175 96.60 104.90 102.62
Sites, in units of the cell vectors:
Al 0.376 0.692 0.226
Al 0.624 0.308 0.774
As 0.488 0.247 0.336
As 0.512 0.753 0.664
As 0.828 0.532 0.189
As 0.172 0.468 0.811
K 0.000 0.000 0.000
K 0.000 0.000 0.500
O 0.419 0.993 0.220
O 0.581 0.007 0.780
O 0.452 0.249 0.534
O 0.548 0.751 0.466
O 0.318 0.383 0.216
O 0.682 0.617 0.784
O 0.781 0.371 0.351
O 0.219 0.629 0.649
O 0.787 0.346 0.013
O 0.213 0.654 0.987
O 0.663 0.713 0.178
O 0.337 0.287 0.822
O 0.098 0.694 0.280
O 0.902 0.306 0.720

=====

[13]
DFT (meta-GGA SCAN) results for K3Al2As3O12 at its PBEsol-relaxed geometry.

## Properties
Space-group type   Pna2_1 (33)
Formation energy (no corrections)   -2117 meV per atom

Lattice parameters (Å, degrees): 8.709 8.887 17.497 90.00 90.00 90.00
Sites, in units of the cell vectors:
K 0.842 0.508 0.096
K 0.342 0.492 0.904
K 0.342 0.992 0.596
K 0.842 0.008 0.404
K 0.308 0.451 0.145
K 0.808 0.549 0.855
K 0.808 0.049 0.645
K 0.308 0.951 0.355
K 0.121 0.175 0.011
K 0.621 0.825 0.989
K 0.621 0.325 0.511
K 0.121 0.675 0.489
Al 0.146 0.846 0.160
Al 0.646 0.154 0.840
Al 0.646 0.654 0.660
Al 0.146 0.346 0.340
Al 0.655 0.633 0.332
Al 0.155 0.367 0.668
Al 0.155 0.867 0.832
Al 0.655 0.133 0.168
As 0.001 0.654 0.285
As 0.501 0.346 0.715
As 0.501 0.846 0.785
As 0.001 0.154 0.215
As 0.513 0.794 0.185
As 0.013 0.206 0.815
As 0.013 0.706 0.685
As 0.513 0.294 0.315
As 0.084 0.734 0.997
As 0.584 0.266 0.003
As 0.584 0.766 0.497
As 0.084 0.234 0.503
O 0.033 0.787 0.350
O 0.533 0.213 0.650
O 0.533 0.713 0.850
O 0.033 0.287 0.150
O 0.138 0.516 0.289
O 0.638 0.484 0.711
O 0.638 0.984 0.789
O 0.138 0.016 0.211
O 0.005 0.716 0.191
O 0.505 0.284 0.809
O 0.505 0.784 0.691
O 0.005 0.216 0.309
O 0.826 0.566 0.291
O 0.326 0.434 0.709
O 0.326 0.934 0.791
O 0.826 0.066 0.209
O 0.592 0.673 0.124
O 0.092 0.327 0.876
O 0.092 0.827 0.624
O 0.592 0.173 0.376
O 0.530 0.978 0.157
O 0.030 0.022 0.843
O 0.030 0.522 0.657
O 0.530 0.478 0.343
O 0.571 0.782 0.279
O 0.071 0.218 0.721
O 0.071 0.718 0.779
O 0.571 0.282 0.221
O 0.318 0.762 0.190
O 0.818 0.238 0.810
O 0.818 0.738 0.690
O 0.318 0.262 0.310
O 0.154 0.573 0.033
O 0.654 0.427 0.967
O 0.654 0.927 0.533
O 0.154 0.073 0.467
O 0.201 0.789 0.921
O 0.701 0.211 0.079
O 0.701 0.711 0.421
O 0.201 0.289 0.579
O 0.899 0.730 0.972
O 0.399 0.270 0.028
O 0.399 0.770 0.472
O 0.899 0.230 0.528
O 0.117 0.882 0.062
O 0.617 0.118 0.938
O 0.617 0.618 0.562
O 0.117 0.382 0.438

=====

[14]
DFT (meta-GGA SCAN) results for KAlAsPb2 at its PBEsol-relaxed geometry.

## Properties
Energy of formation from the pure elements   539 meV/atom
Space-group type   P4/mmm (123)

Lattice parameters (Å, degrees): 5.304 5.304 5.677 90.00 90.00 90.00
Sites, in units of the cell vectors:
Pb 0.000 0.500 0.000
Pb 0.500 0.000 0.000
As 0.500 0.500 0.500
K 0.000 0.000 0.500
Al 0.000 0.000 0.000

=====

[15]
DFT (meta-GGA SCAN) results for LaAlAs at its PBEsol-relaxed geometry.

## Properties
Energy of formation from the pure elements   -834 meV/atom
Space-group type   P-6m2 (187)

Lattice parameters (Å, degrees): 4.081 4.428 4.428 120.00 90.00 90.00
Sites, in units of the cell vectors:
As 0.834 0.333 0.667
Al 0.833 0.000 0.000
La 0.333 0.667 0.333

=====

[16]
DFT (meta-GGA SCAN) results for LaAlAs at its PBEsol-relaxed geometry.

## Properties
Energy of formation from the pure elements   -644 meV/atom
Space-group type   Fmm2 (42)

Lattice parameters (Å, degrees): 3.552 3.552 5.892 107.99 107.99 88.59
Sites, in units of the cell vectors:
As 0.633 0.633 0.266
Al 0.036 0.036 0.072
La 0.331 0.331 0.661

=====

[17]
DFT (meta-GGA SCAN) results for LaAl2As at its PBEsol-relaxed geometry.

## Properties
Energy of formation from the pure elements   -257 meV/atom
Space-group type   F-43m (216)

Lattice parameters (Å, degrees): 4.957 4.957 4.957 60.00 60.00 60.00
Sites, in units of the cell vectors:
As 0.500 0.500 0.500
Al 0.000 0.000 0.000
Al 0.750 0.750 0.750
La 0.250 0.250 0.250

=====

[18]
DFT (meta-GGA SCAN) results for LaAl2As at its PBEsol-relaxed geometry.

## Properties
Energy of formation from the pure elements   -374 meV/atom
Space-group type   Fmmm (69)

Lattice parameters (Å, degrees): 4.162 4.162 6.289 109.15 109.15 90.51
Sites, in units of the cell vectors:
As 0.500 0.500 0.000
Al 0.000 0.000 0.500
Al 0.500 0.500 0.500
La 0.000 0.000 0.000

=====

[19]
DFT (meta-GGA SCAN) results for LaAl2AsOs at its PBEsol-relaxed geometry.

## Properties
Energy of formation from the pure elements   2227 meV/atom
Space-group type   P4/mmm (123)

Lattice parameters (Å, degrees): 5.221 5.520 5.520 90.00 90.00 90.00
Sites, in units of the cell vectors:
As 0.500 0.000 0.000
Os 0.500 0.500 0.500
Al 0.000 0.000 0.500
Al 0.000 0.500 0.000
La 0.000 0.000 0.000

=====

[20]
DFT (meta-GGA SCAN) results for LaYAl2As at its PBEsol-relaxed geometry.

## Properties
Energy of formation from the pure elements   44 meV/atom
Space-group type   P4/mmm (123)

Lattice parameters (Å, degrees): 4.956 4.956 5.501 90.00 90.00 90.00
Sites, in units of the cell vectors:
Y 0.500 0.500 0.500
As 0.000 0.000 0.000
Al 0.000 0.500 0.000
Al 0.500 0.000 0.000
La 0.000 0.000 0.500

=====

no.,V (Å³/atom)
1,25.498
2,15.786
3,14.932
4,21.794
5,24.887
6,23.096
7,29.971
8,25.925
9,29.261
10,21.961
11,26.776
12,13.567
13,16.927
14,31.935
15,23.100
16,22.346
17,21.532
18,24.097
19,31.819
20,27.022